{
  "formula": "Be4BOs",
  "functional": "PBE",
  "state": "relaxed",
  "e_above_lowest_polymorph_kj_per_mol_atoms": 9.49,
  "m_tot_mub_per_fu": 0.00,
  "dos_ef_per_ev_cell": 3.94,
  "crystal_system": "cubic",
  "mass_density_g_cm3": 7.84,
  "dft_energy_ev_per_cell": -32.3,
  "volume_a3_per_cell": 50.2,
  "space_group": "No. 216",
  "lattice_angstrom": [[4.141, 0.000, 0.000], [2.070, 3.586, 0.000], [2.070, 1.195, 3.381]],
  "species": ["Be", "Be", "Be", "Be", "Os", "B"],
  "frac_coords": [[0.626, 0.122, 0.626], [0.122, 0.626, 0.626], [0.626, 0.626, 0.626], [0.626, 0.626, 0.122], [0.000, 0.000, 0.000], [0.250, 0.250, 0.250]]
}